The following is a DFT calculation (PBE) of a geometry-optimized Ni2HN structure.

Values from the calculation:
- Energy: -20.24 eV/cell
- N(E_F): 0.93 states/eV per atom
- Volume: 30 Å³/f.u.
- Energy above the lowest structure with this stoichiometry: 546 meV/atom

Cell and atoms, written as POSCAR:
```
Ni2HN
1.0
2.984 -0.438 1.776
0.055 -2.018 2.860
1.641 -3.091 -0.070
Ni H N
2 1 1
Direct
0.250 0.250 0.250 Ni
0.750 0.750 0.750 Ni
0.000 0.000 0.000 H
0.500 0.500 0.500 N
```

=====

The following is a DFT calculation (PBE) of a geometry-optimized Nd6DyTh2 structure.

Values from the calculation:
- Energy: -47.41 eV/cell
- N(E_F): 1.80 states/eV per atom
- Volume: 309 Å³/f.u.
- Energy relative to the elements: 0.0714 eV per atom

Cell and atoms, written as POSCAR:
```
Nd6DyTh2
1.0
3.623 0.000 0.000
-1.812 3.138 0.000
0.000 0.000 27.199
Nd Dy Th
6 1 2
Direct
0.667 0.333 0.893 Nd
0.333 0.667 0.437 Nd
0.333 0.667 0.779 Nd
0.333 0.667 0.221 Nd
0.333 0.667 0.563 Nd
0.667 0.333 0.107 Nd
0.333 0.667 0.000 Dy
0.667 0.333 0.330 Th
0.667 0.333 0.670 Th
```

=====

Q: Among the records above, which one has the highest energy?
A: Ni2HN

=====

Q: Look up the energy of the first one.
A: -20.24 eV/cell